Entry 1:
Below is crystalline KH2O at its relaxed geometry, with properties calculated at the GGA-PBE level. Values from VASP.

Summary:
- Space group: No. 63
- Crystal system: orthorhombic
- DFT total energy: -3.39 eV/atom

Quantum ESPRESSO input file:
```
&SYSTEM
  ibrav = 0, nat = 8, ntyp = 3
/
ATOMIC_SPECIES
H 1.01 H.upf
O 16.00 O.upf
K 39.10 K.upf
CELL_PARAMETERS angstrom
2.5776 0.0000 0.0000
0.0000 3.4225 0.0000
-1.2888 0.0000 10.5298
ATOMIC_POSITIONS angstrom
H 1.2888 2.5669 10.4695
H 1.2888 0.8556 4.0865
O 0.0000 0.8556 3.7576
O 1.2888 2.5669 6.7722
K 1.2888 2.5669 2.3085
K 0.0000 0.8556 8.2213
H 0.0000 0.8556 0.0604
H 0.0000 2.5669 6.4434
```

***

Entry 2:
Below is crystalline Li5CoAsN2 at its relaxed geometry, with properties calculated at the GGA-PBE level. Values from VASP.

Summary:
- Formation energy without anion corrections: -282 meV/atom
- Space group: No. 123
- Crystal system: tetragonal

Quantum ESPRESSO input file:
```
&SYSTEM
  ibrav = 0, nat = 9, ntyp = 4
/
ATOMIC_SPECIES
Li 6.94 Li.upf
Co 58.93 Co.upf
As 74.92 As.upf
N 14.01 N.upf
CELL_PARAMETERS angstrom
-1.5671 1.3201 -3.5379
1.8248 -3.0888 -1.9608
-6.0444 -4.2612 1.0874
ATOMIC_POSITIONS angstrom
Li -3.0222 -2.1306 0.5437
Co 0.0000 0.0000 0.0000
As -2.8933 -3.0150 -2.2056
N -4.6944 -3.3095 0.8445
Li -0.5567 -2.5801 -0.7161
Li -5.3588 -2.5655 -0.9459
Li -2.2526 -0.3757 -1.5047
N -1.3500 -0.9518 0.2429
Li -3.6629 -4.7699 -0.1573
```

***

Entry 3:
Below is crystalline TaSiI2O at its relaxed geometry, with properties calculated at the GGA-PBE level. Values from VASP.

Summary:
- Formation energy without anion corrections: -128 meV/atom
- Space group: No. 123
- Crystal system: tetragonal

Quantum ESPRESSO input file:
```
&SYSTEM
  ibrav = 0, nat = 5, ntyp = 4
/
ATOMIC_SPECIES
Si 28.09 Si.upf
O 16.00 O.upf
Ta 180.95 Ta.upf
I 126.90 I.upf
CELL_PARAMETERS angstrom
5.6885 0.0000 0.0000
0.0000 5.6885 0.0000
0.0000 0.0000 3.8680
ATOMIC_POSITIONS angstrom
Si 2.8443 2.8443 1.9340
O 0.0000 0.0000 1.9340
Ta 0.0000 0.0000 0.0000
I 0.0000 2.8443 0.0000
I 2.8443 0.0000 0.0000
```

***

Entry 4:
Below is crystalline ThTe5 at its relaxed geometry, with properties calculated at the GGA-PBE level. Values from VASP.

Summary:
- Formation energy without anion corrections: -571 meV/atom
- Space group: No. 1
- Crystal system: triclinic

Quantum ESPRESSO input file:
```
&SYSTEM
  ibrav = 0, nat = 6, ntyp = 2
/
ATOMIC_SPECIES
Th 232.04 Th.upf
Te 127.60 Te.upf
CELL_PARAMETERS angstrom
-3.3508 2.5535 -1.5795
-3.6756 -4.7434 -1.2215
1.0755 4.5063 8.9503
ATOMIC_POSITIONS angstrom
Th -3.4264 3.9203 6.3139
Te -3.9007 -1.8928 0.2665
Te -0.2529 3.7205 5.7396
Te -1.8963 1.2922 5.2268
Te -3.4249 0.7072 1.2087
Te -3.2387 2.0386 -1.2484
```

***

Entry 5:
Below is crystalline Cs3Sm3BiSe8 at its relaxed geometry, with properties calculated at the GGA-PBE level. Values from VASP.

Summary:
- Formation energy without anion corrections: -1416 meV/atom
- Space group: No. 12
- Crystal system: monoclinic

Quantum ESPRESSO input file:
```
&SYSTEM
  ibrav = 0, nat = 15, ntyp = 4
/
ATOMIC_SPECIES
Sm 150.36 Sm.upf
Cs 132.91 Cs.upf
Se 78.96 Se.upf
Bi 208.98 Bi.upf
CELL_PARAMETERS angstrom
-6.8249 1.4658 4.9636
3.0092 -7.9782 -0.8976
5.4343 6.0285 5.6916
ATOMIC_POSITIONS angstrom
Sm -0.6953 3.7471 5.3276
Cs 0.0000 0.0000 0.0000
Se 1.6361 -2.4367 6.6726
Se -3.4385 2.6875 5.5727
Sm 0.8093 -0.2419 4.8788
Se 5.0571 -3.1714 4.1849
Se -0.0176 1.9528 3.0850
Se 1.4769 -2.0399 2.6327
Bi 2.7171 3.0142 2.8458
Sm 4.2217 -0.9748 2.3970
Cs -1.9079 -3.2562 2.0330
Se 3.5495 0.8275 4.6358
Se 0.1416 1.5560 7.1249
Cs 1.5046 -3.9891 -0.4488
Se -1.9310 -1.3114 5.1218
```

***

Entry 6:
Below is crystalline YVSn2W at its relaxed geometry, with properties calculated at the GGA-PBE level. Values from VASP.

Summary:
- Space group: No. 123
- Crystal system: tetragonal
- DFT total energy: -6.71 eV/atom

Quantum ESPRESSO input file:
```
&SYSTEM
  ibrav = 0, nat = 5, ntyp = 4
/
ATOMIC_SPECIES
W 183.84 W.upf
Sn 118.71 Sn.upf
Y 88.91 Y.upf
V 50.94 V.upf
CELL_PARAMETERS angstrom
5.2342 0.0000 0.0000
0.0000 4.7600 0.0000
0.0000 0.0000 5.2342
ATOMIC_POSITIONS angstrom
W 0.0000 0.0000 0.0000
Sn 2.6171 0.0000 0.0000
Y 2.6171 2.3800 2.6171
V 0.0000 2.3800 0.0000
Sn 0.0000 0.0000 2.6171
```

***

For the records above, the corresponding M_tot values read 0.5, 0.2, 0.7, 0.0, 0.0, 2.2 μB/cell.